# SmMg12 GGA-PBE relaxed
# N(E_F)   10.15 states/eV per cell
# Energy of formation from the pure elements   -0.034 eV per atom
data_SmMg12
_chemical_formula_sum 'Sm2 Mg24'
_cell_length_a 10.202
_cell_length_b 10.202
_cell_length_c 5.994
_cell_angle_alpha 90.00
_cell_angle_beta 90.00
_cell_angle_gamma 90.00
_symmetry_space_group_name_H-M 'I 4/m m m'
_symmetry_Int_Tables_number 139
_symmetry_space_group_name_Hall '-I 4 2'
loop_
_atom_site_label
_atom_site_type_symbol
_atom_site_fract_x
_atom_site_fract_y
_atom_site_fract_z
_atom_site_occupancy
Sm1 Sm 0.000 0.000 0.000 1
Mg1 Mg 0.000 0.212 0.500 1
Mg2 Mg 0.000 0.350 0.000 1
Mg3 Mg 0.250 0.250 0.250 1